No. 1
VASP calculation (GGA-PBE) on a geometry-optimized Na3Zr2AuS6 structure.

Values from the calculation:
density of states at the Fermi level: 0.566 states/eV per cell
formation energy from raw total energies: -1.19 eV per atom
size of the total moment: 0.00 μB per atom
total energy: -5.28 eV/atom

Lattice parameters (Å, degrees): 3.7655 7.8892 8.9686 101.00 102.12 90.00
Fractional coordinates of all 12 atoms:
Na: 0.8526 0.1597 0.7052
Na: 0.5000 0.5000 0.0000
Na: 0.1474 0.8403 0.2948
Au: 0.5000 0.0000 0.0000
Zr: 0.8325 0.6746 0.6650
Zr: 0.1675 0.3254 0.3350
S: 0.3107 0.8751 0.6215
S: 0.9773 0.7666 0.9546
S: 0.0227 0.2334 0.0454
S: 0.6711 0.5626 0.3423
S: 0.6893 0.1249 0.3785
S: 0.3289 0.4374 0.6577

No. 2
VASP calculation (GGA-PBE) on a geometry-optimized Na4Zr3AuS8 structure.

Values from the calculation:
density of states at the Fermi level: 4.996 states/eV per cell
formation energy from raw total energies: -1.24 eV per atom
size of the total moment: 0.00 μB per atom
total energy: -5.44 eV/atom

Lattice parameters (Å, degrees): 7.5953 7.9889 7.6022 118.42 119.97 90.00
Fractional coordinates of all 16 atoms:
Na: 0.5000 0.0000 0.5000
Na: 0.5000 0.0000 0.0000
Na: 0.0000 0.0000 0.0000
Na: 0.0000 0.0000 0.5000
S: 0.7245 0.7214 0.9728
S: 0.7510 0.2781 0.5020
S: 0.2483 0.7214 0.9728
S: 0.2755 0.2786 0.0272
S: 0.7517 0.2786 0.0272
S: 0.2595 0.2783 0.5190
S: 0.2490 0.7219 0.4980
S: 0.7405 0.7217 0.4810
Au: 0.0000 0.5000 0.0000
Zr: 0.0000 0.5000 0.5000
Zr: 0.5000 0.5000 0.5000
Zr: 0.5000 0.5000 0.0000